{"formula": "AcTlNi", "functional": "PBE", "state": "optimized geometry", "lattice": [[4.689, 0.000, 0.000], [-2.344, 4.061, 0.000], [0.000, 0.000, 4.207]], "species": ["Ac", "Tl", "Ni"], "frac_coords": [[0.000, 0.000, 0.000], [0.667, 0.333, 0.500], [0.333, 0.667, 0.500]], "spacegroup": "P-6m2", "de_polymorph_mev_per_atom": 79, "m_tot_mub_per_atom": 0.00}